1.
# K4La6OsI14

A relaxed K4La6OsI14 crystal (PBE-GGA, Alexandria).

The space group is P4/mnc (No. 128) and the conventional cell measures 10.129, 10.129 and 22.495 Å, with angles of 90.00, 90.00 and 90.00 degrees. Symmetry generates all atoms from K at (0.174, 0.326, 0.250), La at (0.000, 0.000, 0.126), La at (0.092, 0.730, 0.000), Os at (0.000, 0.000, 0.000), I at (0.000, 0.000, 0.275), I at (0.093, 0.300, 0.500) and I at (0.099, 0.692, 0.145).

The value obtained for the polymorph energy (0 for the lowest one) is 0.0 meV/atom. The calculation puts the total energy at -4.05 eV/atom. The value obtained for the energy relative to the elements, uncorrected is -1.379 eV per atom.

---

2.
# K4La6OsI14

A relaxed K4La6OsI14 crystal (PBE-GGA, Alexandria).

The space group is P4/ncc (No. 130, origin choice 2) and the conventional cell measures 13.378, 13.378 and 25.362 Å, with angles of 90.00, 90.00 and 90.00 degrees. Symmetry generates all atoms from K at (0.045, 0.678, 0.074), La at (0.081, 0.124, 0.684), La at (0.250, 0.250, 0.068), La at (0.250, 0.250, 0.300), Os at (0.250, 0.250, 0.185), I at (0.041, 0.125, 0.816), I at (0.059, 0.100, 0.556), I at (0.086, 0.702, 0.321), I at (0.250, 0.250, 0.434) and I at (0.250, 0.750, 0.000).

The value obtained for the polymorph energy (0 for the lowest one) is 4.6 meV/atom. The calculation puts the total energy at -4.05 eV/atom. The value obtained for the energy relative to the elements, uncorrected is -1.375 eV per atom.

---

3.
# KLaPb2I8

A relaxed KLaPb2I8 crystal (PBE-GGA, Alexandria).

The space group is P-1 (No. 2) and the conventional cell measures 7.468, 7.894 and 9.806 Å, with angles of 89.98, 89.96 and 89.32 degrees. Symmetry generates all atoms from K at (0.000, 0.000, 0.000), La at (0.000, 0.000, 0.500), Pb at (0.500, 0.500, 0.246), I at (0.247, 0.333, 0.500), I at (0.250, 0.842, 0.729), I at (0.251, 0.842, 0.271) and I at (0.267, 0.362, 0.000).

The calculation puts the total energy at -3.20 eV/atom. The value obtained for the energy relative to the elements, uncorrected is -1.042 eV per atom.

---

4.
# K2RbLaI6

A relaxed K2RbLaI6 crystal (PBE-GGA, Alexandria).

The space group is R3 (No. 146, hexagonal axes) and the conventional cell measures 8.8575, 8.8575 and 23.4507 Å, with angles of 90.00, 90.00 and 120.00 degrees. Symmetry generates all atoms from K at (0.0000, 0.0000, 0.0000), K at (0.0000, 0.0000, 0.4887), Rb at (0.0000, 0.0000, 0.2899), La at (0.0000, 0.0000, 0.8002), I at (0.0449, 0.3471, 0.3945) and I at (0.0544, 0.6708, 0.5524).

The calculation puts the total energy at -3.24 eV/atom. The value obtained for the energy relative to the elements, uncorrected is -1.504 eV per atom.

---

5.
# K2LaReI

A relaxed K2LaReI crystal (PBE-GGA, Alexandria).

The space group is P4/mmm (No. 123) and the conventional cell measures 6.117, 6.117 and 6.276 Å, with angles of 90.00, 90.00 and 90.00 degrees. Symmetry generates all atoms from K at (0.000, 0.500, 0.000), La at (0.000, 0.000, 0.500), Re at (0.500, 0.500, 0.500) and I at (0.000, 0.000, 0.000).

The calculation puts the total energy at -3.08 eV/atom. The value obtained for the energy relative to the elements, uncorrected is 1.146 eV per atom.

---

6.
# KLaSI

A relaxed KLaSI crystal (PBE-GGA, Alexandria).

The space group is R3m (No. 160, hexagonal axes) and the conventional cell measures 4.2910, 4.2910 and 25.1693 Å, with angles of 90.00, 90.00 and 120.00 degrees. Symmetry generates all atoms from K at (0.0000, 0.0000, 0.0000), La at (0.0000, 0.0000, 0.8036), S at (0.0000, 0.0000, 0.4096) and I at (0.0000, 0.0000, 0.2263).

The calculation puts the total energy at -4.44 eV/atom. The value obtained for the energy relative to the elements, uncorrected is -1.511 eV per atom.

---

7.
# KLaSb2I

A relaxed KLaSb2I crystal (PBE-GGA, Alexandria).

The space group is P4/mmm (No. 123) and the conventional cell measures 5.743, 5.743 and 5.929 Å, with angles of 90.00, 90.00 and 90.00 degrees. Symmetry generates all atoms from K at (0.000, 0.000, 0.000), La at (0.500, 0.500, 0.500), Sb at (0.000, 0.500, 0.000) and I at (0.000, 0.000, 0.500).

The value obtained for the polymorph energy (0 for the lowest one) is 678.5 meV/atom. The calculation puts the total energy at -2.91 eV/atom. The value obtained for the energy relative to the elements, uncorrected is 0.249 eV per atom.

---

8.
# KLaSb2I

A relaxed KLaSb2I crystal (PBE-GGA, Alexandria).

The space group is P4/mmm (No. 123) and the conventional cell measures 6.137, 6.137 and 6.432 Å, with angles of 90.00, 90.00 and 90.00 degrees. Symmetry generates all atoms from K at (0.000, 0.000, 0.000), La at (0.500, 0.500, 0.500), Sb at (0.000, 0.500, 0.500) and I at (0.500, 0.500, 0.000).

The value obtained for the polymorph energy (0 for the lowest one) is 0.0 meV/atom. The calculation puts the total energy at -3.59 eV/atom. The value obtained for the energy relative to the elements, uncorrected is -0.429 eV per atom.

---

9.
# KLaSeI

A relaxed KLaSeI crystal (PBE-GGA, Alexandria).

The space group is R3m (No. 160, hexagonal axes) and the conventional cell measures 4.3895, 4.3895 and 25.5147 Å, with angles of 90.00, 90.00 and 120.00 degrees. Symmetry generates all atoms from K at (0.0000, 0.0000, 0.0000), La at (0.0000, 0.0000, 0.8095), Se at (0.0000, 0.0000, 0.4117) and I at (0.0000, 0.0000, 0.2292).

The calculation puts the total energy at -4.23 eV/atom. The value obtained for the energy relative to the elements, uncorrected is -1.470 eV per atom.

---

10.
# KLaTe2I

A relaxed KLaTe2I crystal (PBE-GGA, Alexandria).

The space group is P4/mmm (No. 123) and the conventional cell measures 6.184, 6.184 and 6.419 Å, with angles of 90.00, 90.00 and 90.00 degrees. Symmetry generates all atoms from K at (0.000, 0.000, 0.000), La at (0.500, 0.500, 0.500), Te at (0.000, 0.500, 0.500) and I at (0.500, 0.500, 0.000).

The value obtained for the polymorph energy (0 for the lowest one) is 0.0 meV/atom. The calculation puts the total energy at -3.84 eV/atom. The value obtained for the energy relative to the elements, uncorrected is -1.071 eV per atom.

---

11.
# KLaTeI

A relaxed KLaTeI crystal (PBE-GGA, Alexandria).

The space group is R3m (No. 160, hexagonal axes) and the conventional cell measures 4.5537, 4.5537 and 26.2307 Å, with angles of 90.00, 90.00 and 120.00 degrees. Symmetry generates all atoms from K at (0.0000, 0.0000, 0.0000), La at (0.0000, 0.0000, 0.8192), Te at (0.0000, 0.0000, 0.4162) and I at (0.0000, 0.0000, 0.2340).

The calculation puts the total energy at -3.98 eV/atom. The value obtained for the energy relative to the elements, uncorrected is -1.304 eV per atom.

---

12.
# KLaTe2I

A relaxed KLaTe2I crystal (PBE-GGA, Alexandria).

The space group is P4/mmm (No. 123) and the conventional cell measures 5.923, 5.923 and 5.865 Å, with angles of 90.00, 90.00 and 90.00 degrees. Symmetry generates all atoms from K at (0.000, 0.000, 0.000), La at (0.500, 0.500, 0.500), Te at (0.000, 0.500, 0.000) and I at (0.000, 0.000, 0.500).

The value obtained for the polymorph energy (0 for the lowest one) is 881.3 meV/atom. The calculation puts the total energy at -2.96 eV/atom. The value obtained for the energy relative to the elements, uncorrected is -0.190 eV per atom.

---

13.
# K2LaTlI6

A relaxed K2LaTlI6 crystal (PBE-GGA, Alexandria).

The space group is R3 (No. 146, hexagonal axes) and the conventional cell measures 8.7516, 8.7516 and 22.9801 Å, with angles of 90.00, 90.00 and 120.00 degrees. Symmetry generates all atoms from K at (0.0000, 0.0000, 0.0000), K at (0.0000, 0.0000, 0.4906), La at (0.0000, 0.0000, 0.6921), Tl at (0.0000, 0.0000, 0.1997), I at (0.0089, 0.3839, 0.4336) and I at (0.0550, 0.6837, 0.2726).

The calculation puts the total energy at -3.21 eV/atom. The value obtained for the energy relative to the elements, uncorrected is -1.335 eV per atom.

---

14.
# KLaV2I

A relaxed KLaV2I crystal (PBE-GGA, Alexandria).

The space group is P4/mmm (No. 123) and the conventional cell measures 5.217, 5.217 and 5.928 Å, with angles of 90.00, 90.00 and 90.00 degrees. Symmetry generates all atoms from K at (0.000, 0.000, 0.000), La at (0.500, 0.500, 0.000), V at (0.000, 0.500, 0.500) and I at (0.000, 0.000, 0.500).

The calculation puts the total energy at -4.06 eV/atom. The value obtained for the energy relative to the elements, uncorrected is 1.107 eV per atom.

---

15.
# KLaVI2

A relaxed KLaVI2 crystal (PBE-GGA, Alexandria).

The space group is P4/mmm (No. 123) and the conventional cell measures 6.394, 6.394 and 5.894 Å, with angles of 90.00, 90.00 and 90.00 degrees. Symmetry generates all atoms from K at (0.000, 0.000, 0.000), La at (0.500, 0.500, 0.500), V at (0.500, 0.500, 0.000) and I at (0.000, 0.500, 0.500).

The calculation puts the total energy at -3.75 eV/atom. The value obtained for the energy relative to the elements, uncorrected is -0.105 eV per atom.

---

16.
# KLaZn2I

A relaxed KLaZn2I crystal (PBE-GGA, Alexandria).

The space group is P4/mmm (No. 123) and the conventional cell measures 5.520, 5.520 and 5.986 Å, with angles of 90.00, 90.00 and 90.00 degrees. Symmetry generates all atoms from K at (0.000, 0.000, 0.000), La at (0.500, 0.500, 0.500), Zn at (0.000, 0.500, 0.000) and I at (0.000, 0.000, 0.500).

The calculation puts the total energy at -1.68 eV/atom. The value obtained for the energy relative to the elements, uncorrected is 0.346 eV per atom.

---

17.
# KLi3I3

A relaxed KLi3I3 crystal (PBE-GGA, Alexandria).

The space group is Pm-3n (No. 223) and the conventional cell measures 8.081, 8.081 and 8.081 Å, with angles of 90.00, 90.00 and 90.00 degrees. Symmetry generates all atoms from K at (0.000, 0.000, 0.000), Li at (0.000, 0.250, 0.500) and I at (0.000, 0.500, 0.250).

The calculation puts the total energy at -2.57 eV/atom. The value obtained for the energy relative to the elements, uncorrected is -0.926 eV per atom.

---

18.
# K3LiI4

A relaxed K3LiI4 crystal (PBE-GGA, Alexandria).

The space group is Pmn2_1 (No. 31) and the conventional cell measures 11.657, 9.652 and 7.145 Å, with angles of 90.00, 90.00 and 90.00 degrees. Symmetry generates all atoms from K at (0.000, 0.148, 0.000), K at (0.236, 0.331, 0.502), Li at (0.000, 0.821, 0.424), I at (0.000, 0.112, 0.502), I at (0.000, 0.800, 0.034) and I at (0.220, 0.693, 0.505).

The value obtained for the polymorph energy (0 for the lowest one) is 2.4 meV/atom. The calculation puts the total energy at -2.79 eV/atom. The value obtained for the energy relative to the elements, uncorrected is -1.361 eV per atom.

---

19.
# KLiI2

A relaxed KLiI2 crystal (PBE-GGA, Alexandria).

The space group is C2/m (No. 12) and the conventional cell measures 17.593, 4.595 and 8.322 Å, with angles of 90.00, 112.86 and 90.00 degrees. Symmetry generates all atoms from K at (0.130, 0.000, 0.082), Li at (0.107, 0.500, 0.606), I at (0.013, 0.500, 0.251) and I at (0.204, 0.000, 0.724).

The value obtained for the polymorph energy (0 for the lowest one) is 0.9 meV/atom. The calculation puts the total energy at -2.86 eV/atom. The value obtained for the energy relative to the elements, uncorrected is -1.330 eV per atom.